Record 1
## USi2RuRh (PBEsol)

Data for an optimized crystal structure of USi2RuRh.

```
data_USi2RuRh
_chemical_formula_sum 'U1 Si2 Ru1 Rh1'
_space_group_name_H-M_alt 'P 1'
_space_group_IT_number 1
_cell_length_a 4.023
_cell_length_b 4.023
_cell_length_c 5.642
_cell_angle_alpha 110.88
_cell_angle_beta 110.88
_cell_angle_gamma 90.00
loop_
_space_group_symop_operation_xyz
'x,y,z'
loop_
_atom_site_label
_atom_site_type_symbol
_atom_site_fract_x
_atom_site_fract_y
_atom_site_fract_z
U1 U 0.000 0.000 0.000
Si1 Si 0.379 0.379 0.759
Rh1 Rh 0.750 0.250 0.500
Ru1 Ru 0.250 0.750 0.500
Si2 Si 0.621 0.621 0.241
```

Values from the calculation:
Crystal system ... tetragonal
Final energy ... -45.53 eV/cell
Magnetization ... 1.675 μB/f.u.
SG ... I-4m2 (119)

=====

Record 2
## TcHRu3 (PBEsol)

Data for an optimized crystal structure of TcHRu3.

```
data_TcHRu3
_chemical_formula_sum 'Tc1 H1 Ru3'
_space_group_name_H-M_alt 'P 1'
_space_group_IT_number 1
_cell_length_a 3.825
_cell_length_b 3.825
_cell_length_c 3.825
_cell_angle_alpha 90.00
_cell_angle_beta 90.00
_cell_angle_gamma 90.00
loop_
_space_group_symop_operation_xyz
'x,y,z'
loop_
_atom_site_label
_atom_site_type_symbol
_atom_site_fract_x
_atom_site_fract_y
_atom_site_fract_z
Ru1 Ru 0.000 0.500 0.000
Ru2 Ru 0.000 0.000 0.500
Tc1 Tc 0.500 0.500 0.500
Ru3 Ru 0.500 0.000 0.000
H1 H 0.000 0.000 0.000
```

Values from the calculation:
Crystal system ... cubic
Final energy ... -44.80 eV/cell
Magnetization ... 0.000 μB/f.u.
SG ... Pm-3m (221)

=====

Record 3
## SrCaSc4 (PBEsol)

Data for an optimized crystal structure of SrCaSc4.

```
data_SrCaSc4
_chemical_formula_sum 'Sr1 Ca1 Sc4'
_space_group_name_H-M_alt 'P 1'
_space_group_IT_number 1
_cell_length_a 6.389
_cell_length_b 6.389
_cell_length_c 6.389
_cell_angle_alpha 60.00
_cell_angle_beta 60.00
_cell_angle_gamma 60.00
loop_
_space_group_symop_operation_xyz
'x,y,z'
loop_
_atom_site_label
_atom_site_type_symbol
_atom_site_fract_x
_atom_site_fract_y
_atom_site_fract_z
Sc1 Sc 0.373 0.373 0.880
Sc2 Sc 0.880 0.373 0.373
Ca1 Ca 0.000 0.000 0.000
Sr1 Sr 0.750 0.750 0.750
Sc3 Sc 0.373 0.880 0.373
Sc4 Sc 0.373 0.373 0.373
```

Values from the calculation:
Crystal system ... cubic
Final energy ... -28.67 eV/cell
Magnetization ... 1.368 μB/f.u.
SG ... F-43m (216)

=====

Record 4
## La4PbAu (PBEsol)

Data for an optimized crystal structure of La4PbAu.

```
data_La4PbAu
_chemical_formula_sum 'La4 Pb1 Au1'
_space_group_name_H-M_alt 'P 1'
_space_group_IT_number 1
_cell_length_a 6.293
_cell_length_b 6.293
_cell_length_c 6.293
_cell_angle_alpha 60.00
_cell_angle_beta 60.00
_cell_angle_gamma 60.00
loop_
_space_group_symop_operation_xyz
'x,y,z'
loop_
_atom_site_label
_atom_site_type_symbol
_atom_site_fract_x
_atom_site_fract_y
_atom_site_fract_z
La1 La 0.376 0.871 0.376
La2 La 0.376 0.376 0.376
Pb1 Pb 0.750 0.750 0.750
La3 La 0.871 0.376 0.376
La4 La 0.376 0.376 0.871
Au1 Au 0.000 0.000 0.000
```

Values from the calculation:
Crystal system ... cubic
Final energy ... -28.83 eV/cell
Magnetization ... 0.000 μB/f.u.
SG ... F-43m (216)

=====

Record 5
## Li2CaIn (PBEsol)

Data for an optimized crystal structure of Li2CaIn.

```
data_Li2CaIn
_chemical_formula_sum 'Li2 Ca1 In1'
_space_group_name_H-M_alt 'P 1'
_space_group_IT_number 1
_cell_length_a 3.517
_cell_length_b 3.517
_cell_length_c 7.701
_cell_angle_alpha 90.00
_cell_angle_beta 90.00
_cell_angle_gamma 90.00
loop_
_space_group_symop_operation_xyz
'x,y,z'
loop_
_atom_site_label
_atom_site_type_symbol
_atom_site_fract_x
_atom_site_fract_y
_atom_site_fract_z
Li1 Li 0.500 0.500 0.193
Ca1 Ca 0.000 0.000 0.519
Li2 Li 0.000 0.000 0.991
In1 In 0.500 0.500 0.797
```

Values from the calculation:
Crystal system ... tetragonal
Final energy ... -9.92 eV/cell
Magnetization ... 0.000 μB/f.u.
SG ... P4mm (99)

=====

Record 6
## BaCd2Au2 (PBEsol)

Data for an optimized crystal structure of BaCd2Au2.

```
data_BaCd2Au2
_chemical_formula_sum 'Ba1 Cd2 Au2'
_space_group_name_H-M_alt 'P 1'
_space_group_IT_number 1
_cell_length_a 4.448
_cell_length_b 4.448
_cell_length_c 7.022
_cell_angle_alpha 108.46
_cell_angle_beta 108.46
_cell_angle_gamma 90.00
loop_
_space_group_symop_operation_xyz
'x,y,z'
loop_
_atom_site_label
_atom_site_type_symbol
_atom_site_fract_x
_atom_site_fract_y
_atom_site_fract_z
Ba1 Ba 0.000 0.000 0.000
Au1 Au 0.390 0.390 0.780
Au2 Au 0.610 0.610 0.220
Cd1 Cd 0.750 0.250 0.500
Cd2 Cd 0.250 0.750 0.500
```

Values from the calculation:
Crystal system ... tetragonal
Final energy ... -14.77 eV/cell
Magnetization ... 0.000 μB/f.u.
SG ... I4/mmm (139)

=====

Record 7
## AgSb2Ru (PBEsol)

Data for an optimized crystal structure of AgSb2Ru.

```
data_AgSb2Ru
_chemical_formula_sum 'Ag1 Sb2 Ru1'
_space_group_name_H-M_alt 'P 1'
_space_group_IT_number 1
_cell_length_a 3.286
_cell_length_b 3.286
_cell_length_c 8.588
_cell_angle_alpha 78.97
_cell_angle_beta 78.97
_cell_angle_gamma 60.00
loop_
_space_group_symop_operation_xyz
'x,y,z'
loop_
_atom_site_label
_atom_site_type_symbol
_atom_site_fract_x
_atom_site_fract_y
_atom_site_fract_z
Sb1 Sb 0.258 0.258 0.227
Sb2 Sb 0.742 0.742 0.773
Ru1 Ru 0.000 0.000 0.000
Ag1 Ag 0.500 0.500 0.500
```

Values from the calculation:
Crystal system ... trigonal
Final energy ... -22.20 eV/cell
Magnetization ... 0.002 μB/f.u.
SG ... R-3m (166)

=====

Record 8
## SrAsP2 (PBEsol)

Data for an optimized crystal structure of SrAsP2.

```
data_SrAsP2
_chemical_formula_sum 'Sr1 As1 P2'
_space_group_name_H-M_alt 'P 1'
_space_group_IT_number 1
_cell_length_a 3.758
_cell_length_b 3.758
_cell_length_c 5.919
_cell_angle_alpha 90.00
_cell_angle_beta 90.00
_cell_angle_gamma 98.46
loop_
_space_group_symop_operation_xyz
'x,y,z'
loop_
_atom_site_label
_atom_site_type_symbol
_atom_site_fract_x
_atom_site_fract_y
_atom_site_fract_z
P1 P 0.000 0.000 0.813
As1 As 0.500 0.500 0.000
P2 P 0.000 0.000 0.187
Sr1 Sr 0.500 0.500 0.500
```

Values from the calculation:
Crystal system ... orthorhombic
Final energy ... -19.32 eV/cell
Magnetization ... 0.000 μB/f.u.
SG ... Cmmm (65)